(1)
CoAgMoO2 | PBE+U | optimized geometry

Properties
SG ... P4/mmm, No. 123
Calculated volume ... 81.5 Å³/cell
Electronic total energy ... -5.129 eV/atom

```
5
Lattice="3.828 0.000 0.000 0.000 3.828 0.000 0.000 0.000 5.560" Properties=species:S:1:pos:R:3 pbc="T T T"
Co 0.000 0.000 0.000
Ag 1.914 1.914 0.000
Mo 0.000 0.000 2.780
O 0.000 1.914 2.780
O 1.914 0.000 2.780
```


(2)
Co2Ag2MoO6 | PBE+U | optimized geometry

Properties
SG ... C2/m, No. 12
Calculated volume ... 136.3 Å³/cell
Electronic total energy ... -5.646 eV/atom

```
11
Lattice="2.624 -4.307 0.000 2.624 4.307 0.000 -1.633 0.000 6.029" Properties=species:S:1:pos:R:3 pbc="T T T"
Co 2.624 2.863 0.000
Co 2.624 -2.863 0.000
Ag 1.808 2.765 3.014
Ag 1.808 -2.765 3.014
Mo 2.624 0.000 0.000
O -0.850 0.000 4.995
O 1.671 1.496 1.029
O 1.945 1.496 5.000
O 1.671 -1.496 1.029
O 1.945 -1.496 5.000
O 4.466 0.000 1.034
```


no.,total magnetic moment (μB per atom)
1,0.333
2,0.181